# 1
DFT (GGA-PBE) results for an optimized crystal structure of Th4CoBi3.

Values from the calculation:
- energy relative to the lowest polymorph listed for this composition (kJ/mol of formula units) = 255
- ρ (g/cm³) = 8.91
- uncorrected energy (eV per atom) = -6.20

```
data_Th4CoBi3
_chemical_formula_sum 'Th8 Co2 Bi6'
_cell_length_a 6.375
_cell_length_b 10.481
_cell_length_c 9.006
_cell_angle_alpha 90.00
_cell_angle_beta 90.00
_cell_angle_gamma 90.00
_symmetry_space_group_name_H-M 'P m m n'
_symmetry_Int_Tables_number 59
loop_
_symmetry_equiv_pos_as_xyz
'x,y,z'
'-x,-y,-z'
'-x+1/2,-y+1/2,z'
'x+1/2,y+1/2,-z'
'x+1/2,-y,-z'
'-x+1/2,y,z'
'-x,y+1/2,-z'
'x,-y+1/2,z'
loop_
_atom_site_label
_atom_site_type_symbol
_atom_site_fract_x
_atom_site_fract_y
_atom_site_fract_z
Th1 Th 0.250 0.045 0.203
Th2 Th 0.250 0.250 0.622
Th3 Th 0.250 0.750 0.650
Co1 Co 0.250 0.250 0.345
Bi1 Bi 0.250 0.007 0.845
Bi2 Bi 0.250 0.750 0.293
```

# 2
DFT (GGA-PBE) results for an optimized crystal structure of Th4CoBi3.

Values from the calculation:
- energy relative to the lowest polymorph listed for this composition (kJ/mol of formula units) = 0
- ρ (g/cm³) = 10.46
- uncorrected energy (eV per atom) = -6.53

```
data_Th4CoBi3
_chemical_formula_sum 'Th8 Co2 Bi6'
_cell_length_a 8.000
_cell_length_b 9.099
_cell_length_c 7.430
_cell_angle_alpha 90.00
_cell_angle_beta 108.68
_cell_angle_gamma 90.00
_symmetry_space_group_name_H-M 'P 1 2/c 1'
_symmetry_Int_Tables_number 13
loop_
_symmetry_equiv_pos_as_xyz
'x,y,z'
'-x,-y,-z'
'-x,y,-z+1/2'
'x,-y,z+1/2'
loop_
_atom_site_label
_atom_site_type_symbol
_atom_site_fract_x
_atom_site_fract_y
_atom_site_fract_z
Th1 Th 0.198 0.111 0.025
Th2 Th 0.231 0.343 0.477
Co1 Co 0.000 0.117 0.250
Bi1 Bi 0.000 0.383 0.750
Bi2 Bi 0.500 0.118 0.750
Bi3 Bi 0.500 0.386 0.250
```

# 3
DFT (GGA-PBE) results for an optimized crystal structure of Th6Co3Bi.

Values from the calculation:
- ρ (g/cm³) = 10.81
- uncorrected energy (eV per atom) = -7.24

```
data_Th6Co3Bi
_chemical_formula_sum 'Th12 Co6 Bi2'
_cell_length_a 11.294
_cell_length_b 4.080
_cell_length_c 12.216
_cell_angle_alpha 90.00
_cell_angle_beta 103.92
_cell_angle_gamma 90.00
_symmetry_space_group_name_H-M 'P 1 21/m 1'
_symmetry_Int_Tables_number 11
loop_
_symmetry_equiv_pos_as_xyz
'x,y,z'
'-x,-y,-z'
'-x,y+1/2,-z'
'x,-y+1/2,z'
loop_
_atom_site_label
_atom_site_type_symbol
_atom_site_fract_x
_atom_site_fract_y
_atom_site_fract_z
Th1 Th 0.005 0.250 0.121
Th2 Th 0.113 0.750 0.456
Th3 Th 0.191 0.250 0.755
Th4 Th 0.290 0.250 0.285
Th5 Th 0.319 0.750 0.040
Th6 Th 0.421 0.250 0.590
Co1 Co 0.025 0.750 0.660
Co2 Co 0.154 0.250 0.969
Co3 Co 0.348 0.750 0.431
Bi1 Bi 0.451 0.750 0.823
```

# 4
DFT (GGA-PBE) results for an optimized crystal structure of Th6CoBi.

Values from the calculation:
- ρ (g/cm³) = 11.02
- uncorrected energy (eV per atom) = -7.01

```
data_Th6CoBi
_chemical_formula_sum 'Th12 Co2 Bi2'
_cell_length_a 8.129
_cell_length_b 10.050
_cell_length_c 6.475
_cell_angle_alpha 90.00
_cell_angle_beta 109.01
_cell_angle_gamma 90.00
_symmetry_space_group_name_H-M 'C 1 2/m 1'
_symmetry_Int_Tables_number 12
loop_
_symmetry_equiv_pos_as_xyz
'x,y,z'
'-x,-y,-z'
'-x,y,-z'
'x,-y,z'
'x+1/2,y+1/2,z'
'-x+1/2,-y+1/2,-z'
'-x+1/2,y+1/2,-z'
'x+1/2,-y+1/2,z'
loop_
_atom_site_label
_atom_site_type_symbol
_atom_site_fract_x
_atom_site_fract_y
_atom_site_fract_z
Th1 Th 0.101 0.193 0.292
Th2 Th 0.207 0.500 0.095
Co1 Co 0.000 0.000 0.000
Bi1 Bi 0.000 0.500 0.500
```

# 5
DFT (GGA-PBE) results for an optimized crystal structure of Th5Co2Bi2.

Values from the calculation:
- ρ (g/cm³) = 10.16
- uncorrected energy (eV per atom) = -6.81

```
data_Th5Co2Bi2
_chemical_formula_sum 'Th20 Co8 Bi8'
_cell_length_a 6.728
_cell_length_b 20.528
_cell_length_c 8.025
_cell_angle_alpha 90.00
_cell_angle_beta 90.00
_cell_angle_gamma 90.00
_symmetry_space_group_name_H-M 'I m m a'
_symmetry_Int_Tables_number 74
_symmetry_space_group_name_Hall '-I 2b 2'
loop_
_atom_site_label
_atom_site_type_symbol
_atom_site_fract_x
_atom_site_fract_y
_atom_site_fract_z
Th1 Th 0.000 0.139 0.055
Th2 Th 0.000 0.250 0.624
Th3 Th 0.250 0.011 0.750
Co1 Co 0.000 0.000 0.000
Co2 Co 0.000 0.250 0.941
Bi1 Bi 0.000 0.106 0.463
```

# 6
DFT (GGA-PBE) results for an optimized crystal structure of Th5CoBi4.

Values from the calculation:
- ρ (g/cm³) = 10.63
- uncorrected energy (eV per atom) = -6.46

```
data_Th5CoBi4
_chemical_formula_sum 'Th10 Co2 Bi8'
_cell_length_a 9.997
_cell_length_b 9.997
_cell_length_c 6.426
_cell_angle_alpha 90.00
_cell_angle_beta 90.00
_cell_angle_gamma 90.00
_symmetry_space_group_name_H-M 'I 4'
_symmetry_Int_Tables_number 79
loop_
_symmetry_equiv_pos_as_xyz
'x,y,z'
'-y,x,z'
'-x,-y,z'
'y,-x,z'
'x+1/2,y+1/2,z+1/2'
'-y+1/2,x+1/2,z+1/2'
'-x+1/2,-y+1/2,z+1/2'
'y+1/2,-x+1/2,z+1/2'
loop_
_atom_site_label
_atom_site_type_symbol
_atom_site_fract_x
_atom_site_fract_y
_atom_site_fract_z
Th1 Th 0.000 0.000 0.000
Th2 Th 0.094 0.256 0.499
Co1 Co 0.000 0.000 0.499
Bi1 Bi 0.081 0.313 0.999
```

# 7
DFT (GGA-PBE) results for an optimized crystal structure of Th3Co3Bi.

Values from the calculation:
- ρ (g/cm³) = 10.99
- uncorrected energy (eV per atom) = -7.17

```
data_Th3Co3Bi
_chemical_formula_sum 'Th6 Co6 Bi2'
_cell_length_a 9.5770
_cell_length_b 9.5770
_cell_length_c 4.1163
_cell_angle_alpha 90.00
_cell_angle_beta 90.00
_cell_angle_gamma 120.00
_symmetry_space_group_name_H-M 'P 63/m'
_symmetry_Int_Tables_number 176
_symmetry_space_group_name_Hall '-P 6c'
loop_
_atom_site_label
_atom_site_type_symbol
_atom_site_fract_x
_atom_site_fract_y
_atom_site_fract_z
Th1 Th 0.0547 0.3648 0.2500
Co1 Co 0.0111 0.1576 0.7500
Bi1 Bi 0.3333 0.6667 0.7500
```

# 8
DFT (GGA-PBE) results for an optimized crystal structure of Th6Co4Bi.

Values from the calculation:
- ρ (g/cm³) = 10.98
- uncorrected energy (eV per atom) = -7.32

```
data_Th6Co4Bi
_chemical_formula_sum 'Th24 Co16 Bi4'
_cell_length_a 4.187
_cell_length_b 12.992
_cell_length_c 20.421
_cell_angle_alpha 90.00
_cell_angle_beta 90.00
_cell_angle_gamma 90.00
_symmetry_space_group_name_H-M 'C m c m'
_symmetry_Int_Tables_number 63
_symmetry_space_group_name_Hall '-C 2c 2'
loop_
_atom_site_label
_atom_site_type_symbol
_atom_site_fract_x
_atom_site_fract_y
_atom_site_fract_z
Th1 Th 0.000 0.000 0.000
Th2 Th 0.000 0.146 0.250
Th3 Th 0.000 0.263 0.582
Th4 Th 0.000 0.472 0.149
Co1 Co 0.000 0.109 0.123
Co2 Co 0.000 0.364 0.044
Bi1 Bi 0.000 0.155 0.750
```

# 9
DFT (GGA-PBE) results for an optimized crystal structure of ThCoBi2.

Values from the calculation:
- ρ (g/cm³) = 10.44
- uncorrected energy (eV per atom) = -5.17

```
data_ThCoBi2
_chemical_formula_sum 'Th3 Co3 Bi6'
_cell_length_a 3.4909
_cell_length_b 3.4909
_cell_length_c 32.0481
_cell_angle_alpha 90.00
_cell_angle_beta 90.00
_cell_angle_gamma 120.00
_symmetry_space_group_name_H-M 'R -3 m'
_symmetry_Int_Tables_number 166
_symmetry_space_group_name_Hall '-R 3 2"'
loop_
_atom_site_label
_atom_site_type_symbol
_atom_site_fract_x
_atom_site_fract_y
_atom_site_fract_z
Th1 Th 0.0000 0.0000 0.0000
Co1 Co 0.0000 0.0000 0.5000
Bi1 Bi 0.0000 0.0000 0.4208
```

# 10
DFT (GGA-PBE) results for an optimized crystal structure of Th3CoBi2.

Values from the calculation:
- energy relative to the lowest polymorph listed for this composition (kJ/mol of formula units) = 0
- ρ (g/cm³) = 10.52
- uncorrected energy (eV per atom) = -6.64

```
data_Th3CoBi2
_chemical_formula_sum 'Th6 Co2 Bi4'
_cell_length_a 4.526
_cell_length_b 4.526
_cell_length_c 18.079
_cell_angle_alpha 90.00
_cell_angle_beta 90.00
_cell_angle_gamma 90.00
_symmetry_space_group_name_H-M 'I 4/m m m'
_symmetry_Int_Tables_number 139
_symmetry_space_group_name_Hall '-I 4 2'
loop_
_atom_site_label
_atom_site_type_symbol
_atom_site_fract_x
_atom_site_fract_y
_atom_site_fract_z
Th1 Th 0.000 0.000 0.000
Th2 Th 0.000 0.000 0.364
Co1 Co 0.000 0.000 0.500
Bi1 Bi 0.000 0.000 0.179
```

Calculated ΔH_f (0 K), -0.147 -0.477 -0.268 -0.069 -0.242 -0.487 -0.388 -0.335 0.400 -0.450 eV/atom (same order as the records).